Compound: Be4Si5
Source: Alexandria
Functional: meta-GGA SCAN
Structure: single point on PBEsol structure Values from VASP.

The density is 2846 kg/m3. The calculation puts the magnetization at 0.000 μB per atom. Its total energy is -63.18 eV for the cell shown. Its uncorrected formation energy is 11.06 kcal/mol of atoms. The density of states at the Fermi level is 3.1 states/eV per cell. As for the volume: 11.44 Å³ per atom.

```
&SYSTEM
  ibrav = 0, nat = 9, ntyp = 2
/
ATOMIC_SPECIES
Si 28.09 Si.upf
Be 9.01 Be.upf
CELL_PARAMETERS angstrom
3.547 0.000 0.000
1.773 5.388 0.000
1.773 0.000 5.388
ATOMIC_POSITIONS angstrom
Si 1.773 1.863 0.000
Si 3.547 0.000 3.526
Be 3.547 1.921 1.921
Be 1.773 1.921 3.468
Be 1.773 3.468 1.921
Si 3.547 3.526 0.000
Be 3.547 3.468 3.468
Si 1.773 0.000 1.863
Si 0.000 0.000 0.000
```



Compound: BeSi
Source: Alexandria
Functional: meta-GGA SCAN
Structure: single point on PBEsol structure Values from VASP.

The density is 2640 kg/m3. As for the relative energy among the computed polymorphs: 0.120 eV/atom. The calculation puts the magnetization at 0.000 μB per atom. Its total energy is -26.67 eV for the cell shown. Its uncorrected formation energy is 11.95 kcal/mol of atoms. The density of states at the Fermi level is 1.1 states/eV per cell. As for the volume: 11.66 Å³ per atom.

```
&SYSTEM
  ibrav = 0, nat = 4, ntyp = 2
/
ATOMIC_SPECIES
Be 9.01 Be.upf
Si 28.09 Si.upf
CELL_PARAMETERS angstrom
2.442 0.000 0.000
-1.221 2.253 0.000
0.000 0.000 8.480
ATOMIC_POSITIONS angstrom
Be 0.000 1.127 0.909
Si 1.221 1.127 2.959
Si 0.000 1.127 5.522
Be 1.221 1.127 7.571
```



Compound: Be3Si
Source: Alexandria
Functional: meta-GGA SCAN
Structure: single point on PBEsol structure Values from VASP.

The density is 2318 kg/m3. As for the relative energy among the computed polymorphs: 0.000 eV/atom. The calculation puts the magnetization at 0.008 μB per atom. Its total energy is -21.10 eV for the cell shown. Its uncorrected formation energy is 11.42 kcal/mol of atoms. The density of states at the Fermi level is 1.3 states/eV per cell. As for the volume: 9.87 Å³ per atom.

```
&SYSTEM
  ibrav = 0, nat = 4, ntyp = 2
/
ATOMIC_SPECIES
Be 9.01 Be.upf
Si 28.09 Si.upf
CELL_PARAMETERS angstrom
2.395 0.000 0.000
-0.798 4.364 0.000
-0.798 -2.182 3.779
ATOMIC_POSITIONS angstrom
Be -0.399 -1.091 1.890
Be 0.399 1.091 1.890
Be -0.399 2.182 0.000
Si 1.197 0.000 0.000
```



Compound: SrBe2Si
Source: Alexandria
Functional: meta-GGA SCAN
Structure: single point on PBEsol structure Values from VASP.

The density is 2925 kg/m3. The calculation puts the magnetization at 0.163 μB per atom. Its total energy is -39.58 eV for the cell shown. Its uncorrected formation energy is 8.19 kcal/mol of atoms. The density of states at the Fermi level is 2.3 states/eV per cell. As for the volume: 18.98 Å³ per atom.

```
&SYSTEM
  ibrav = 0, nat = 4, ntyp = 3
/
ATOMIC_SPECIES
Si 28.09 Si.upf
Be 9.01 Be.upf
Sr 87.62 Sr.upf
CELL_PARAMETERS angstrom
3.840 0.000 0.000
1.920 4.486 0.032
1.920 0.805 4.413
ATOMIC_POSITIONS angstrom
Si 1.920 2.645 2.223
Be 3.840 1.822 1.531
Sr 1.920 0.000 0.000
Be 3.840 3.469 2.915
```